A relaxed structure of VNi3Cl, computed with PBE.

The structure in POSCAR format:
```
VNi3Cl
1.0
4.1437 0.0000 0.0000
0.0000 4.1437 0.0000
0.0000 0.0000 4.1437
V Ni Cl
1 3 1
Cartesian
2.0718 2.0718 2.0718
0.0000 0.0000 2.0718
0.0000 2.0718 0.0000
2.0718 0.0000 0.0000
0.0000 0.0000 0.0000
```

Calculated values
offset from the most stable computed form = 0.00 eV per formula unit
symmetry = Pm-3m (221)
formation energy from raw total energies = 0.7358 eV per atom

=====

A relaxed structure of Cd2IrRh, computed with PBE.

The structure in POSCAR format:
```
Cd2IrRh
1.0
-2.1017 1.9227 -0.2415
-2.5084 -2.5813 1.2792
1.0731 1.9253 5.9892
Ir Cd Rh
1 2 1
Cartesian
0.5639 1.0118 3.1474
-2.0121 0.1964 2.1542
1.0478 1.8800 5.8482
-1.5271 1.0666 4.8610
```

Calculated values
E_form = 127 meV per atom
symmetry = Pmm2 (25)

=====

A relaxed structure of RbFeS3, computed with PBE.

The structure in POSCAR format:
```
RbFeS3
1.0
4.6301 0.0000 0.0000
0.0000 4.6301 0.0000
0.0000 0.0000 4.6301
Rb S Fe
1 3 1
Cartesian
2.3151 2.3151 2.3151
0.0000 0.0000 2.3151
2.3151 0.0000 0.0000
0.0000 2.3151 0.0000
0.0000 0.0000 0.0000
```

Calculated values
offset from the most stable computed form = 0.00 eV per formula unit
symmetry = Pm-3m (221)
formation energy from raw total energies = -0.0448 eV per atom

=====

A relaxed structure of BaBe2Re, computed with PBE.

The structure in POSCAR format:
```
BaBe2Re
1.0
3.1906 0.0000 0.0000
0.0000 3.3102 0.0000
0.0000 0.0000 7.2105
Re Ba Be
1 1 2
Cartesian
0.0000 0.0000 2.7462
1.5953 1.6551 5.3348
0.0000 0.0000 0.5924
1.5953 1.6551 2.1423
```

Calculated values
E_form = 748 meV per atom
offset from the most stable computed form = 1.31 eV per formula unit
symmetry = Pmm2 (25)

=====

A relaxed structure of CeURh6, computed with PBE.

The structure in POSCAR format:
```
CeURh6
1.0
4.0406 0.0000 0.0000
0.0000 4.0406 0.0000
0.0000 0.0000 8.1073
Rh Ce U
6 1 1
Cartesian
0.0000 2.0203 5.9856
2.0203 2.0203 0.0000
2.0203 0.0000 5.9856
2.0203 0.0000 2.1217
2.0203 2.0203 4.0536
0.0000 2.0203 2.1217
0.0000 0.0000 0.0000
0.0000 0.0000 4.0536
```

Calculated values
E_form = -678 meV per atom
symmetry = P4/mmm (123)

=====

A relaxed structure of La8Rh3BrCl4, computed with PBE.

The structure in POSCAR format:
```
La8Rh3BrCl4
1.0
8.4265 0.0000 0.0000
0.0000 8.7706 0.2312
-4.2133 -4.2088 5.9645
La Cl Rh Br
8 4 3 1
Cartesian
1.9876 2.2882 5.9977
-1.9876 2.2882 5.9977
2.2257 2.2736 0.1981
0.0000 0.3294 3.2102
6.2008 2.2736 0.1981
4.2133 0.2928 3.0139
0.0000 4.2690 3.1819
4.2133 4.2324 2.9856
4.2133 0.0000 0.0000
0.0000 0.0000 0.0000
2.1066 -2.1044 2.9823
-2.1066 -2.1044 2.9823
4.2133 4.3853 0.1156
-2.1066 2.2809 3.0979
2.1066 2.2809 3.0979
0.0000 4.3853 0.1156
```

Calculated values
symmetry = R-3m (166)
formation energy from raw total energies = -1.2706 eV per atom

=====

A relaxed structure of Pm2Mg2MnGe4, computed with PBE.

The structure in POSCAR format:
```
Pm2Mg2MnGe4
1.0
6.3382 -0.2445 -0.3857
-2.7698 5.7062 0.3857
-2.7698 -2.0869 5.3248
Pm Mn Ge Mg
2 1 4 2
Cartesian
0.3993 3.6357 1.4276
0.3993 -0.2609 3.8972
0.0000 0.0000 0.0000
-2.7698 -0.0337 4.0236
1.8802 0.8247 1.3013
-2.7698 3.6530 1.6870
-1.0817 2.5501 4.0236
-1.6641 1.0872 1.7154
-3.8755 2.5321 3.9951
```

Calculated values
E_form = -382 meV per atom
symmetry = I4/mmm (139)

=====

A relaxed structure of Nd3GeP2Pd9, computed with PBE.

The structure in POSCAR format:
```
Nd3GeP2Pd9
1.0
-6.1899 0.0266 1.4983
2.3054 -4.4477 -3.9324
1.6027 -5.1037 6.7120
Pd P Ge Nd
9 2 1 3
Cartesian
-1.8916 -5.2332 -0.3472
-3.0950 0.0133 0.7491
-1.9423 -2.2106 -1.2171
-2.5066 -6.7003 3.2989
0.2248 -2.8245 0.9790
-0.3902 -4.2915 4.6251
1.4809 -5.2477 -1.1635
1.1527 -2.2238 -1.9662
-3.7627 -4.2771 5.4414
-2.0270 -5.7038 5.2628
-0.2548 -3.8210 -0.9849
0.8014 -2.5518 3.3560
0.5019 -6.2307 2.1841
-2.7837 -3.2941 2.0937
0.0000 0.0000 0.0000
```

Calculated values
E_form = -692 meV per atom
symmetry = P-3m1 (164)

=====

A relaxed structure of HgMoRh2, computed with PBE.

The structure in POSCAR format:
```
HgMoRh2
1.0
-0.8845 -1.4051 -3.3980
2.6204 0.6369 -0.9455
4.5351 -4.7342 0.7771
Mo Hg Rh
1 1 2
Cartesian
4.9243 -3.7755 -1.8253
1.3466 -1.7269 -1.7411
4.4912 -4.6058 0.7354
3.6216 -2.1770 -0.0425
```

Calculated values
E_form = 27 meV per atom
symmetry = P2/m (10)

=====

A relaxed structure of YCo4Tc, computed with PBE.

The structure in POSCAR format:
```
YCo4Tc
1.0
0.0000 3.4801 3.4801
3.4801 0.0000 3.4801
3.4801 3.4801 0.0000
Tc Co Y
1 4 1
Cartesian
5.2202 5.2202 5.2202
4.3447 2.6156 4.3447
2.6156 4.3447 4.3447
4.3447 4.3447 2.6156
2.6156 2.6156 2.6156
0.0000 0.0000 0.0000
```

Calculated values
E_form = 48 meV per atom
symmetry = F-43m (216)

=====

A relaxed structure of HgAs2PdO6, computed with PBE.

The structure in POSCAR format:
```
HgAs2PdO6
1.0
-0.8611 4.7806 -4.4084
1.4744 -2.6011 -5.9158
-6.0620 -0.8487 -2.5434
Hg As O Pd
2 4 12 2
Cartesian
-5.7559 2.5154 -6.2757
0.3072 -1.1846 -6.5920
-2.2901 2.4781 -5.7803
-3.1586 -1.1472 -7.0874
-4.0352 1.3468 -9.0920
-1.4136 -0.0159 -3.7756
-3.5973 -2.2653 -8.3670
-2.3430 -2.4976 -6.0430
-3.8062 1.7752 -5.2098
-1.8514 3.5961 -4.5007
-3.1057 3.8284 -6.8247
-0.3659 -1.3150 -4.3524
-4.2755 0.2419 -7.5751
-5.1019 0.3748 -10.0906
-1.6426 -0.4443 -7.6578
-5.0829 2.6458 -8.5152
-0.3469 0.9561 -2.7771
-1.1733 1.0889 -5.2926
-3.8936 -0.2078 -4.7122
-1.5551 1.5386 -8.1555
```

Calculated values
symmetry = C2/c (15)
formation energy from raw total energies = -0.6938 eV per atom

=====

A relaxed structure of BOs3Br, computed with PBE.

The structure in POSCAR format:
```
BOs3Br
1.0
4.5513 0.0000 0.0000
0.0000 4.5513 0.0000
0.0000 0.0000 4.5513
Br Os B
1 3 1
Cartesian
0.0000 0.0000 0.0000
0.0000 2.2757 0.0000
0.0000 0.0000 2.2757
2.2757 0.0000 0.0000
2.2757 2.2757 2.2757
```

Calculated values
offset from the most stable computed form = 10.51 eV per formula unit
symmetry = Pm-3m (221)
formation energy from raw total energies = 3.3707 eV per atom

=====

In Å³ per atom, the volume values for the records above are, in order, 14.23; 17.42; 19.85; 19.04; 16.55; 28.06; 20.67; 20.10; 16.09; 14.05; 13.15; 18.86.
In μB/f.u., the M_tot values for the records above are, in order, 3.52; 0.00; 0.00; 0.00; 0.00; 0.00; 2.54; 0.00; 0.00; 8.09; 0.00; 0.39.